[1]
The following is a PBE calculation of crystalline Pm4YAs5 at its relaxed geometry, from the Alexandria database.

Properties
ΔH_f (0 K): -1.530 eV/atom
electronic total energy: -6.40 eV per atom

POSCAR file:
```
Pm4YAs5
1.0
-4.715 4.715 2.983
4.715 -4.715 2.983
4.715 4.715 -2.983
Pm Y As
4 1 5
Cartesian
6.602 0.934 0.000
0.934 2.827 0.000
3.781 1.887 2.983
-1.887 3.781 2.983
0.000 0.000 2.983
0.000 0.000 0.000
3.781 1.917 0.000
2.798 -0.934 2.983
1.917 5.649 0.000
0.934 2.798 2.983
```

[2]
The following is a PBE calculation of crystalline Hf3RePd at its relaxed geometry, from the Alexandria database.

Properties
ΔH_f (0 K): 0.623 eV/atom
relative energy among the computed polymorphs: 0.0 kJ/mol of atoms
electronic total energy: -8.88 eV per atom

POSCAR file:
```
Hf3RePd
1.0
4.993 0.000 0.000
0.000 4.993 0.000
0.000 0.000 4.993
Hf Re Pd
3 1 1
Cartesian
0.000 0.000 2.497
0.000 2.497 0.000
2.497 0.000 0.000
0.000 0.000 0.000
2.497 2.497 2.497
```

[3]
The following is a PBE calculation of crystalline Ac2OsI at its relaxed geometry, from the Alexandria database.

Properties
relative energy among the computed polymorphs: 13.7 kJ/mol of atoms
electronic total energy: -5.66 eV per atom
raw formation energy: -412 meV/atom

POSCAR file:
```
Ac2OsI
1.0
3.741 0.000 0.000
0.000 3.741 0.000
0.000 0.000 8.957
Ac Os I
2 1 1
Cartesian
0.000 0.000 1.787
0.000 0.000 7.170
1.871 1.871 0.000
1.871 1.871 4.479
```

[4]
The following is a PBE calculation of crystalline PmScGeIr at its relaxed geometry, from the Alexandria database.

Properties
ΔH_f (0 K): -0.606 eV/atom
electronic total energy: -6.75 eV per atom

POSCAR file:
```
PmScGeIr
1.0
6.926 0.000 0.000
0.000 6.926 0.000
0.000 0.000 6.926
Pm Sc Ge Ir
4 4 4 4
Cartesian
0.000 0.000 0.000
0.000 3.463 3.463
3.463 0.000 3.463
3.463 3.463 0.000
0.000 0.000 3.463
0.000 3.463 0.000
3.463 0.000 0.000
3.463 3.463 3.463
1.731 1.731 1.731
1.731 5.194 5.194
5.194 1.731 5.194
5.194 5.194 1.731
1.731 1.731 5.194
1.731 5.194 1.731
5.194 1.731 1.731
5.194 5.194 5.194
```

[5]
The following is a PBE calculation of crystalline Na5Tm3H12 at its relaxed geometry, from the Alexandria database.

Properties
electronic total energy: -3.26 eV per atom

POSCAR file:
```
Na5Tm3H12
1.0
-6.315 6.315 6.315
6.315 -6.315 6.315
6.315 6.315 -6.315
Na Tm H
20 12 48
Cartesian
0.000 0.000 0.000
3.157 3.157 -3.157
3.157 -3.157 3.157
6.315 0.000 0.000
9.472 1.579 0.000
6.315 -3.157 4.736
4.736 6.315 -3.157
4.736 0.000 3.157
3.157 4.736 0.000
6.315 3.157 1.579
-3.157 3.157 3.157
0.000 6.315 0.000
0.000 0.000 6.315
3.157 3.157 3.157
0.000 3.157 4.736
3.157 1.579 6.315
1.579 6.315 3.157
1.579 0.000 9.472
0.000 9.472 1.579
-3.157 4.736 6.315
3.157 1.579 0.000
6.315 3.157 -1.579
1.579 0.000 3.157
7.894 0.000 3.157
0.000 3.157 1.579
3.157 -1.579 6.315
3.157 7.894 0.000
6.315 3.157 4.736
-1.579 6.315 3.157
4.736 6.315 3.157
0.000 3.157 7.894
3.157 4.736 6.315
1.996 -0.135 0.953
7.477 4.111 -3.293
6.180 -0.953 1.996
9.608 -1.162 2.204
8.311 0.135 0.953
7.477 -2.204 3.293
0.953 1.996 -0.135
8.519 3.022 -1.162
4.111 3.293 -1.162
5.362 1.996 0.135
-0.135 0.953 1.996
3.293 -1.162 4.111
6.180 5.362 -1.996
3.293 1.162 2.204
5.362 -1.996 6.180
4.111 -3.293 7.477
2.204 3.293 1.162
7.268 4.319 0.135
1.996 6.180 -0.953
7.477 2.204 3.022
3.293 7.477 -2.204
6.180 0.953 4.319
1.162 2.204 3.293
1.996 0.135 5.362
4.319 6.180 0.953
5.153 4.111 3.022
0.135 5.362 1.996
3.022 -1.162 8.519
-1.162 4.111 3.293
4.319 0.135 7.268
-0.953 1.996 6.180
4.111 3.022 5.153
2.204 9.608 -1.162
0.953 8.311 0.135
3.022 5.153 4.111
0.135 0.953 8.311
3.022 7.477 2.204
6.450 5.362 4.319
0.953 4.319 6.180
2.204 3.022 7.477
-2.204 3.293 7.477
5.362 4.319 6.450
-1.162 8.519 3.022
-1.996 6.180 5.362
-3.293 7.477 4.111
0.135 7.268 4.319
-1.162 2.204 9.608
4.319 6.450 5.362
```

[6]
The following is a PBE calculation of crystalline TiBe2As at its relaxed geometry, from the Alexandria database.

Properties
ΔH_f (0 K): 0.095 eV/atom
electronic total energy: -4.90 eV per atom

POSCAR file:
```
TiBe2As
1.0
6.734 0.000 0.000
0.000 6.734 0.000
0.000 0.000 4.885
Ti Be As
4 8 4
Cartesian
0.000 0.000 0.000
0.000 3.367 1.221
3.367 0.000 3.664
3.367 3.367 2.442
1.397 5.051 3.053
1.684 1.397 1.832
1.684 1.970 4.274
1.970 5.051 0.611
4.764 1.684 0.611
5.051 4.764 4.274
5.051 5.337 1.832
5.337 1.684 3.053
0.000 0.000 2.442
0.000 3.367 3.664
3.367 0.000 1.221
3.367 3.367 0.000
```

[7]
The following is a PBE calculation of crystalline PmGa2CuAu4 at its relaxed geometry, from the Alexandria database.

Properties
ΔH_f (0 K): -0.392 eV/atom
electronic total energy: -3.89 eV per atom

POSCAR file:
```
PmGa2CuAu4
1.0
2.247 1.297 8.708
-2.247 1.297 8.708
0.000 -2.595 8.708
Pm Ga Cu Au
1 2 1 4
Cartesian
0.000 0.000 0.000
0.000 0.000 6.386
0.000 0.000 19.739
0.000 0.000 13.062
0.000 0.000 3.531
0.000 0.000 10.392
0.000 0.000 15.732
0.000 0.000 22.593
```

[8]
The following is a PBE calculation of crystalline Tb12Al3In5 at its relaxed geometry, from the Alexandria database.

Properties
ΔH_f (0 K): 0.250 eV/atom
electronic total energy: -3.77 eV per atom

POSCAR file:
```
Tb12Al3In5
1.0
-8.891 8.891 8.891
8.891 -8.891 8.891
8.891 8.891 -8.891
Tb Al In
48 12 20
Cartesian
2.662 -0.223 1.363
10.674 5.809 -4.668
8.668 -1.363 2.662
13.560 -1.783 3.082
11.554 0.223 1.363
10.674 -3.082 4.668
1.363 2.662 -0.223
11.973 4.223 -1.783
5.809 4.668 -1.783
7.528 2.662 0.223
-0.223 1.363 2.662
4.668 -1.783 5.809
8.668 7.528 -2.662
4.668 1.783 3.082
7.528 -2.662 8.668
5.809 -4.668 10.674
3.082 4.668 1.783
10.254 6.229 0.223
2.662 8.668 -1.363
10.674 3.082 4.223
4.668 10.674 -3.082
8.668 1.363 6.229
1.783 3.082 4.668
2.662 0.223 7.528
6.229 8.668 1.363
7.108 5.809 4.223
0.223 7.528 2.662
4.223 -1.783 11.973
-1.783 5.809 4.668
6.229 0.223 10.254
-1.363 2.662 8.668
5.809 4.223 7.108
3.082 13.560 -1.783
1.363 11.554 0.223
4.223 7.108 5.809
0.223 1.363 11.554
4.223 10.674 3.082
9.114 7.528 6.229
1.363 6.229 8.668
3.082 4.223 10.674
-3.082 4.668 10.674
7.528 6.229 9.114
-1.783 11.973 4.223
-2.662 8.668 7.528
-4.668 10.674 5.809
0.223 10.254 6.229
-1.783 3.082 13.560
6.229 9.114 7.528
4.446 2.223 0.000
8.891 4.446 -2.223
2.223 0.000 4.446
11.114 0.000 4.446
0.000 4.446 2.223
4.446 -2.223 8.891
4.446 11.114 0.000
8.891 4.446 6.668
-2.223 8.891 4.446
6.668 8.891 4.446
0.000 4.446 11.114
4.446 6.668 8.891
0.000 0.000 0.000
4.446 4.446 -4.446
4.446 -4.446 4.446
8.891 0.000 0.000
13.337 2.223 0.000
8.891 -4.446 6.668
6.668 8.891 -4.446
6.668 0.000 4.446
4.446 6.668 0.000
8.891 4.446 2.223
-4.446 4.446 4.446
0.000 8.891 0.000
0.000 0.000 8.891
4.446 4.446 4.446
0.000 4.446 6.668
4.446 2.223 8.891
2.223 8.891 4.446
2.223 0.000 13.337
0.000 13.337 2.223
-4.446 6.668 8.891
```

[9]
The following is a PBE calculation of crystalline ZnCrCu2 at its relaxed geometry, from the Alexandria database.

Properties
ΔH_f (0 K): 0.163 eV/atom
electronic total energy: -4.61 eV per atom

POSCAR file:
```
ZnCrCu2
1.0
5.946 0.000 0.000
0.000 5.946 0.000
0.000 0.000 5.946
Zn Cr Cu
4 4 8
Cartesian
0.000 0.000 0.000
0.000 2.973 2.973
2.973 0.000 2.973
2.973 2.973 0.000
1.487 1.487 4.460
1.487 4.460 1.487
4.460 1.487 1.487
4.460 4.460 4.460
0.000 0.000 2.973
0.000 2.973 0.000
1.487 1.487 1.487
1.487 4.460 4.460
2.973 0.000 0.000
2.973 2.973 2.973
4.460 1.487 4.460
4.460 4.460 1.487
```

[10]
The following is a PBE calculation of crystalline SmSc2Rh at its relaxed geometry, from the Alexandria database.

Properties
ΔH_f (0 K): -0.485 eV/atom
relative energy among the computed polymorphs: 1.3 kJ/mol of atoms
electronic total energy: -6.67 eV per atom

POSCAR file:
```
SmSc2Rh
1.0
3.658 0.000 0.000
0.000 11.772 0.000
0.000 0.000 8.736
Sm Sc Rh
4 8 4
Cartesian
0.000 0.752 2.184
0.000 11.020 6.552
1.829 5.134 6.552
1.829 6.638 2.184
0.000 4.198 0.566
0.000 4.198 3.802
0.000 7.574 4.934
0.000 7.574 8.170
1.829 1.688 4.934
1.829 1.688 8.170
1.829 10.083 0.566
1.829 10.083 3.802
0.000 2.822 6.552
0.000 8.950 2.184
1.829 3.064 2.184
1.829 8.707 6.552
```

[11]
The following is a PBE calculation of crystalline Tb2IrAu at its relaxed geometry, from the Alexandria database.

Properties
ΔH_f (0 K): -0.813 eV/atom
electronic total energy: -6.16 eV per atom

POSCAR file:
```
Tb2IrAu
1.0
7.005 0.000 0.000
0.000 7.075 0.000
-3.494 0.000 3.538
Tb Ir Au
4 2 2
Cartesian
0.000 1.767 0.000
0.000 5.308 0.000
3.502 1.770 0.000
3.502 5.305 0.000
-1.747 0.000 1.769
1.756 3.538 1.769
-1.747 3.538 1.769
1.756 0.000 1.769
```

[12]
The following is a PBE calculation of crystalline Ta2IrPt at its relaxed geometry, from the Alexandria database.

Properties
ΔH_f (0 K): -0.528 eV/atom
electronic total energy: -10.18 eV per atom

POSCAR file:
```
Ta2IrPt
1.0
9.394 0.000 0.000
0.000 2.885 0.000
-0.767 0.000 4.890
Ta Ir Pt
4 2 2
Cartesian
0.000 0.000 0.000
1.710 0.000 3.301
4.697 1.442 0.000
6.407 1.442 3.301
4.256 0.000 2.413
8.953 1.442 2.413
2.165 1.442 0.909
6.862 0.000 0.909
```

[13]
The following is a PBE calculation of crystalline CoTcNi2 at its relaxed geometry, from the Alexandria database.

Properties
ΔH_f (0 K): 0.034 eV/atom
relative energy among the computed polymorphs: 0.0 kJ/mol of atoms
electronic total energy: -7.22 eV per atom

POSCAR file:
```
CoTcNi2
1.0
3.578 0.000 0.000
0.000 3.578 0.000
0.000 0.000 7.234
Co Tc Ni
2 2 4
Cartesian
0.000 0.000 0.000
1.789 1.789 3.617
0.000 1.789 1.808
1.789 0.000 5.425
0.000 0.000 3.617
0.000 1.789 5.425
1.789 0.000 1.808
1.789 1.789 0.000
```

[14]
The following is a PBE calculation of crystalline CsZnI3 at its relaxed geometry, from the Alexandria database.

Properties
electronic total energy: -2.22 eV per atom
raw formation energy: -869 meV/atom

POSCAR file:
```
CsZnI3
1.0
-4.249 4.249 5.964
4.249 -4.249 5.964
4.249 4.249 -5.964
Cs Zn I
2 2 6
Cartesian
4.249 0.000 2.982
0.000 4.249 2.982
0.000 0.000 0.000
0.000 0.000 5.964
0.000 0.000 2.536
2.300 2.300 0.000
1.950 -1.950 5.964
-1.950 1.950 5.964
1.950 1.950 5.964
0.000 0.000 9.391
```

[15]
The following is a PBE calculation of crystalline KIn2CuI8 at its relaxed geometry, from the Alexandria database.

Properties
electronic total energy: -2.48 eV per atom
raw formation energy: -560 meV/atom

POSCAR file:
```
KIn2CuI8
1.0
7.624 0.000 0.000
-3.812 6.603 0.000
0.000 0.000 10.468
K In Cu I
1 2 1 8
Cartesian
0.000 0.000 0.000
0.000 4.402 7.773
3.812 2.201 2.695
0.000 0.000 5.234
-1.141 1.986 6.969
-1.521 6.598 6.969
1.150 1.982 3.499
0.000 4.402 0.066
3.812 2.201 10.403
2.662 4.621 6.969
5.333 0.005 3.499
4.953 4.616 3.499
```

[16]
The following is a PBE calculation of crystalline KSn4Bi2 at its relaxed geometry, from the Alexandria database.

Properties
ΔH_f (0 K): -0.059 eV/atom
electronic total energy: -3.61 eV per atom

POSCAR file:
```
KSn4Bi2
1.0
10.050 0.000 0.000
0.000 10.050 0.000
0.000 0.000 4.841
K Sn Bi
2 8 4
Cartesian
0.000 0.000 0.000
5.025 5.025 2.420
0.685 3.521 2.420
1.504 5.710 0.000
3.521 0.685 2.420
4.340 8.546 0.000
5.710 1.504 0.000
6.529 9.365 2.420
8.546 4.340 0.000
9.365 6.529 2.420
2.267 7.783 2.420
2.758 2.758 0.000
7.292 7.292 0.000
7.783 2.267 2.420
```

[17]
The following is a PBE calculation of crystalline Ca2ReMo at its relaxed geometry, from the Alexandria database.

Properties
ΔH_f (0 K): 1.336 eV/atom
relative energy among the computed polymorphs: 97.8 kJ/mol of atoms
electronic total energy: -5.48 eV per atom

POSCAR file:
```
Ca2ReMo
1.0
7.082 0.000 0.000
0.000 7.082 0.000
0.000 0.000 7.082
Ca Re Mo
8 4 4
Cartesian
1.770 1.770 1.770
1.770 1.770 5.311
1.770 5.311 1.770
1.770 5.311 5.311
5.311 1.770 1.770
5.311 1.770 5.311
5.311 5.311 1.770
5.311 5.311 5.311
0.000 0.000 0.000
0.000 3.541 3.541
3.541 0.000 3.541
3.541 3.541 0.000
0.000 0.000 3.541
0.000 3.541 0.000
3.541 0.000 0.000
3.541 3.541 3.541
```

[18]
The following is a PBE calculation of crystalline HfAg2BiMo at its relaxed geometry, from the Alexandria database.

Properties
ΔH_f (0 K): 1.036 eV/atom
electronic total energy: -5.04 eV per atom

POSCAR file:
```
HfAg2BiMo
1.0
5.182 0.000 0.000
0.000 5.182 0.000
0.000 0.000 4.801
Hf Ag Bi Mo
1 2 1 1
Cartesian
0.000 0.000 0.000
0.000 2.591 2.401
2.591 0.000 2.401
2.591 2.591 0.000
0.000 0.000 2.401
```

[19]
The following is a PBE calculation of crystalline SrNi2Cl at its relaxed geometry, from the Alexandria database.

Properties
relative energy among the computed polymorphs: 5.2 kJ/mol of atoms
electronic total energy: -4.09 eV per atom
raw formation energy: -313 meV/atom

POSCAR file:
```
SrNi2Cl
1.0
3.400 0.000 0.000
0.000 3.405 0.000
-0.939 0.000 7.562
Sr Ni Cl
1 2 1
Cartesian
0.000 0.000 0.000
0.769 1.702 5.281
2.471 0.000 4.792
1.700 1.702 1.610
```